Record 1
First-principles (PBE-GGA) data for crystalline LaC3S at its relaxed geometry, as listed in the Alexandria database.

Cell and atoms, written as POSCAR:
```
LaC3S
1.0
-0.068 0.484 4.662
2.779 -3.751 0.430
3.775 2.770 -0.232
S C La
1 3 1
Cartesian
3.242 -0.249 2.430 S
1.389 -1.875 0.215 C
1.887 1.385 -0.116 C
-0.034 0.242 2.331 C
0.000 0.000 0.000 La
```

## Properties
Its crystal system is cubic. The calculation puts the uncorrected formation energy at 3.2495 eV/atom.

---

Record 2
First-principles (PBE-GGA) data for crystalline SiNi at its relaxed geometry, as listed in the Alexandria database.

Cell and atoms, written as POSCAR:
```
SiNi
1.0
4.649 0.002 0.001
3.098 3.467 0.001
3.098 1.387 3.178
Ni Si
2 2
Cartesian
3.149 1.410 0.924 Ni
7.695 3.446 2.257 Ni
1.127 0.505 0.331 Si
9.717 4.352 2.850 Si
```

## Properties
Its crystal system is trigonal. The calculation puts the uncorrected formation energy at -0.3075 eV/atom.

---

Record 3
First-principles (PBE-GGA) data for crystalline TmTcW at its relaxed geometry, as listed in the Alexandria database.

Cell and atoms, written as POSCAR:
```
TmTcW
1.0
-1.626 -4.755 0.599
0.027 1.588 -4.806
5.458 -0.075 1.581
Tm Tc W
2 2 2
Cartesian
-1.082 -2.668 -1.180 Tm
-0.517 -0.500 -3.027 Tm
2.429 -2.734 -2.466 Tc
1.429 -0.509 -0.160 Tc
1.516 -3.207 0.038 W
2.342 -0.036 -2.664 W
```

## Properties
Its crystal system is orthorhombic. For the calculated formation energy, the calculation gives 0.43 eV/atom.

---

Respective Fermi-level density of states values: 0.96; 0.48; 1.17 states/eV/atom.
Respective size of the total moment values: 2.3; 0.0; 0.0 μB/cell.